Entry 1:
A relaxed structure of Y3Tl3TcO8. Source: Alexandria via LeMat-Bulk, functional GGA-PBE.

Computed properties:
Magnetic moment ... 3.00 Bohr magnetons per cell
Calculated total energy ... -0.2655 Ha/atom
Raw formation energy ... -2123 meV/atom
Calculated density ... 6.96 g cm⁻³
N(E_F) ... 0.02 states/eV/atom

Unit cell a=6.821 b=6.821 c=7.645 alpha=116.51 beta=90.00 gamma=120.00
Sites, in units of the cell vectors:
Y  0.500  0.000  0.500
Y  0.500  0.500  0.500
Y  0.000  0.500  0.500
Tl  0.000  0.000  0.000
Tl  0.000  0.500  0.000
Tl  0.500  0.500  0.000
Tc  0.000  0.000  0.500
O  0.277  0.554  0.331
O  0.723  0.446  0.669
O  0.792  0.585  0.336
O  0.208  0.415  0.664
O  0.792  0.043  0.336
O  0.208  0.957  0.664
O  0.251  0.043  0.336
O  0.749  0.957  0.664

=====

Entry 2:
A relaxed structure of Y2Tl2TcO6. Source: Alexandria via LeMat-Bulk, functional GGA-PBE.

Computed properties:
Magnetic moment ... 3.00 Bohr magnetons per cell
Calculated total energy ... -0.2680 Ha/atom
Raw formation energy ... -2041 meV/atom
Calculated density ... 6.71 g cm⁻³

Unit cell a=5.822 b=5.822 c=6.794 alpha=97.38 beta=97.38 gamma=119.85
Sites, in units of the cell vectors:
Y  0.335  0.665  0.500
Y  0.665  0.335  0.500
Tl  0.837  0.163  0.000
Tl  0.163  0.837  0.000
Tc  0.000  0.000  0.500
O  0.748  0.748  0.669
O  0.046  0.356  0.662
O  0.252  0.252  0.331
O  0.356  0.046  0.662
O  0.954  0.644  0.338
O  0.644  0.954  0.338

=====

Entry 3:
A relaxed structure of Y2TlTcO8. Source: Alexandria via LeMat-Bulk, functional GGA-PBE.

Computed properties:
Magnetic moment ... 0.00 Bohr magnetons per cell
Calculated total energy ... -0.2748 Ha/atom
Raw formation energy ... -2033 meV/atom
Calculated density ... 5.87 g cm⁻³

Unit cell a=4.937 b=4.937 c=7.069 alpha=90.00 beta=90.00 gamma=92.92
Sites, in units of the cell vectors:
Y  0.500  0.500  0.756
Y  0.500  0.500  0.244
Tl  0.000  0.000  0.500
Tc  0.000  0.000  0.000
O  0.183  0.816  0.194
O  0.717  0.718  0.000
O  0.817  0.184  0.194
O  0.817  0.184  0.806
O  0.283  0.282  0.000
O  0.183  0.816  0.806
O  0.700  0.700  0.500
O  0.300  0.300  0.500

=====

Entry 4:
A relaxed structure of YTlTc2O8. Source: Alexandria via LeMat-Bulk, functional GGA-PBE.

Computed properties:
Magnetic moment ... 2.03 Bohr magnetons per cell
Calculated total energy ... -0.2764 Ha/atom
Raw formation energy ... -1751 meV/atom
Calculated density ... 4.20 g cm⁻³
N(E_F) ... 0.66 states/eV/atom

Unit cell a=6.024 b=6.024 c=7.764 alpha=90.00 beta=90.00 gamma=120.00
Sites, in units of the cell vectors:
Y  0.000  0.000  0.500
Tl  0.000  0.000  0.000
Tc  0.667  0.333  0.244
Tc  0.333  0.667  0.756
O  0.333  0.667  0.981
O  0.342  0.175  0.322
O  0.825  0.167  0.322
O  0.667  0.333  0.019
O  0.175  0.833  0.678
O  0.658  0.825  0.678
O  0.167  0.342  0.678
O  0.833  0.658  0.322

=====

Entry 5:
A relaxed structure of YTlTcO6. Source: Alexandria via LeMat-Bulk, functional GGA-PBE.

Computed properties:
Magnetic moment ... 0.00 Bohr magnetons per cell
Calculated total energy ... -0.2608 Ha/atom
Raw formation energy ... -1658 meV/atom
Calculated density ... 6.32 g cm⁻³
N(E_F) ... 0.34 states/eV/atom

Unit cell a=5.558 b=5.558 c=4.788 alpha=89.99 beta=90.01 gamma=59.99
Sites, in units of the cell vectors:
Y  0.667  0.667  0.500
Tl  0.000  0.000  0.000
Tc  0.333  0.333  0.500
O  0.042  0.345  0.272
O  0.345  0.042  0.728
O  0.612  0.345  0.728
O  0.042  0.612  0.728
O  0.345  0.613  0.272
O  0.612  0.042  0.272

=====

Entry 6:
A relaxed structure of ZrTl2TcO6. Source: Alexandria via LeMat-Bulk, functional GGA-PBE.

Computed properties:
Magnetic moment ... 0.00 Bohr magnetons per cell
Calculated total energy ... -0.2582 Ha/atom
Raw formation energy ... -1685 meV/atom
Calculated density ... 8.36 g cm⁻³
N(E_F) ... 0.25 states/eV/atom

Unit cell a=5.797 b=5.797 c=5.801 alpha=60.01 beta=60.01 gamma=89.99
Sites, in units of the cell vectors:
Zr  0.000  0.000  0.000
Tl  0.750  0.250  0.500
Tl  0.250  0.750  0.500
Tc  0.500  0.500  0.000
O  0.263  0.263  0.475
O  0.738  0.737  0.000
O  0.262  0.738  0.000
O  0.738  0.262  0.000
O  0.262  0.263  0.000
O  0.737  0.737  0.525

=====

Entry 7:
A relaxed structure of TmTcO4. Source: Alexandria via LeMat-Bulk, functional GGA-PBE.

Computed properties:
Magnetic moment ... 4.07 Bohr magnetons per cell
Calculated total energy ... -0.2975 Ha/atom
Raw formation energy ... -2316 meV/atom
Calculated density ... 7.59 g cm⁻³
Relative energy among the computed polymorphs ... 0.000 eV per atom
N(E_F) ... 0.40 states/eV/atom

Unit cell a=5.250 b=7.535 c=7.414 alpha=98.90 beta=90.00 gamma=90.00
Sites, in units of the cell vectors:
Tm  0.714  0.353  0.610
Tm  0.786  0.353  0.110
Tm  0.214  0.647  0.890
Tm  0.286  0.647  0.390
Tc  0.231  0.163  0.802
Tc  0.269  0.163  0.302
Tc  0.731  0.837  0.698
Tc  0.769  0.837  0.198
O  0.896  0.064  0.698
O  0.604  0.064  0.198
O  0.365  0.172  0.558
O  0.135  0.172  0.058
O  0.511  0.318  0.881
O  0.012  0.393  0.826
O  0.989  0.318  0.381
O  0.488  0.393  0.326
O  0.512  0.607  0.674
O  0.011  0.682  0.619
O  0.988  0.607  0.174
O  0.489  0.682  0.119
O  0.865  0.828  0.942
O  0.635  0.828  0.442
O  0.396  0.936  0.802
O  0.104  0.936  0.302

=====

Entry 8:
A relaxed structure of Tm6TcO12. Source: Alexandria via LeMat-Bulk, functional GGA-PBE.

Computed properties:
Magnetic moment ... 1.01 Bohr magnetons per cell
Calculated total energy ... -0.3040 Ha/atom
Raw formation energy ... -3184 meV/atom
Calculated density ... 8.68 g cm⁻³
N(E_F) ... 0.32 states/eV/atom

Unit cell a=6.377 b=6.377 c=6.377 alpha=98.69 beta=98.69 gamma=98.69
Sites, in units of the cell vectors:
Tm  0.683  0.856  0.389
Tm  0.611  0.317  0.144
Tm  0.144  0.611  0.317
Tm  0.317  0.144  0.611
Tm  0.389  0.683  0.856
Tm  0.856  0.389  0.683
Tc  0.000  0.000  0.000
O  0.823  0.569  0.410
O  0.410  0.823  0.569
O  0.569  0.410  0.823
O  0.177  0.431  0.590
O  0.590  0.177  0.431
O  0.431  0.590  0.177
O  0.078  0.963  0.299
O  0.037  0.701  0.922
O  0.701  0.922  0.037
O  0.922  0.037  0.701
O  0.963  0.299  0.078
O  0.299  0.078  0.963

=====

Entry 9:
A relaxed structure of Tm5Tc2O12. Source: Alexandria via LeMat-Bulk, functional GGA-PBE.

Computed properties:
Magnetic moment ... 0.90 Bohr magnetons per cell
Calculated total energy ... -0.3063 Ha/atom
Raw formation energy ... -2935 meV/atom
Calculated density ... 8.42 g cm⁻³
N(E_F) ... 0.21 states/eV/atom

Unit cell a=5.617 b=6.737 c=7.426 alpha=106.24 beta=90.00 gamma=114.64
Sites, in units of the cell vectors:
Tm  0.303  0.607  0.641
Tm  0.316  0.632  0.178
Tm  0.000  0.000  0.500
Tm  0.684  0.368  0.822
Tm  0.697  0.393  0.359
Tc  0.786  0.000  0.000
Tc  0.214  0.000  0.000
O  0.998  0.996  0.207
O  0.086  0.666  0.914
O  0.580  0.666  0.914
O  0.098  0.693  0.427
O  0.594  0.693  0.427
O  0.499  0.997  0.818
O  0.501  0.003  0.182
O  0.902  0.307  0.573
O  0.406  0.307  0.573
O  0.914  0.334  0.086
O  0.420  0.334  0.086
O  0.002  0.004  0.793

=====

Entry 10:
A relaxed structure of Tm2Tc2O7. Source: Alexandria via LeMat-Bulk, functional GGA-PBE.

Computed properties:
Magnetic moment ... 0.00 Bohr magnetons per cell
Calculated total energy ... -0.2914 Ha/atom
Raw formation energy ... -2077 meV/atom
Calculated density ... 8.09 g cm⁻³
N(E_F) ... 0.48 states/eV/atom

Unit cell a=5.106 b=5.084 c=5.106 alpha=90.00 beta=91.61 gamma=90.00
Sites, in units of the cell vectors:
Tm  0.735  0.500  0.735
Tm  0.265  0.500  0.265
Tc  0.740  0.000  0.260
Tc  0.260  0.000  0.740
O  0.000  0.239  0.500
O  0.500  0.761  0.000
O  0.000  0.761  0.500
O  0.500  0.239  0.000
O  0.000  0.000  0.000
O  0.500  0.772  0.500
O  0.500  0.228  0.500

=====

Entry 11:
A relaxed structure of TmTcO5. Source: Alexandria via LeMat-Bulk, functional GGA-PBE.

Computed properties:
Magnetic moment ... 0.00 Bohr magnetons per cell
Calculated total energy ... -0.2822 Ha/atom
Raw formation energy ... -2018 meV/atom
Calculated density ... 6.06 g cm⁻³
Relative energy among the computed polymorphs ... 0.015 eV per atom
N(E_F) ... 0.01 states/eV/atom

Unit cell a=5.447 b=5.447 c=7.522 alpha=69.61 beta=69.61 gamma=70.34
Sites, in units of the cell vectors:
Tm  0.553  0.447  0.250
Tm  0.447  0.553  0.750
Tc  0.000  0.000  0.000
Tc  0.000  0.000  0.500
O  0.797  0.750  0.119
O  0.278  0.691  0.459
O  0.750  0.797  0.619
O  0.918  0.082  0.250
O  0.309  0.722  0.041
O  0.691  0.278  0.959
O  0.082  0.918  0.750
O  0.250  0.203  0.381
O  0.722  0.309  0.541
O  0.203  0.250  0.881

=====

Entry 12:
A relaxed structure of TmTcO5. Source: Alexandria via LeMat-Bulk, functional GGA-PBE.

Computed properties:
Magnetic moment ... 0.04 Bohr magnetons per cell
Calculated total energy ... -0.2828 Ha/atom
Raw formation energy ... -2033 meV/atom
Calculated density ... 4.13 g cm⁻³
Relative energy among the computed polymorphs ... 0.000 eV per atom
N(E_F) ... 0.31 states/eV/atom

Unit cell a=6.189 b=6.189 c=8.233 alpha=108.29 beta=108.29 gamma=94.09
Sites, in units of the cell vectors:
Tm  0.000  0.000  0.000
Tm  0.000  0.000  0.500
Tc  0.636  0.364  0.750
Tc  0.364  0.636  0.250
O  0.719  0.665  0.850
O  0.281  0.335  0.150
O  0.335  0.281  0.650
O  0.665  0.719  0.350
O  0.041  0.959  0.750
O  0.959  0.041  0.250
O  0.743  0.238  0.914
O  0.257  0.762  0.086
O  0.762  0.257  0.586
O  0.238  0.743  0.414

=====

Question: Which of these has the highest calculated density?
Answer: Tm6TcO12